A relaxed structure of NiBi2SeF, computed with PBE+U.

```
NiBi2SeF
1.0
5.636 0.000 0.000
0.000 3.976 0.000
0.000 0.000 5.636
Ni Bi Se F
1 2 1 1
Direct
0.500 0.500 0.500
0.000 0.000 0.500
0.500 0.000 0.000
0.000 0.000 0.000
0.000 0.500 0.000
```

Output
As for the density of states at the Fermi level: 3.5 states/eV per cell. The value obtained for the total magnetization is 0.00 μB/f.u. The calculation puts the uncorrected energy at -2.635 eV/atom.